[1]
Here is crystalline TmV2Tc at its relaxed geometry from Alexandria. Energies are from PBE-GGA.

Properties
V: 75.7 Å³ per cell
Fermi-level density of states: 0.87 states/eV/atom
crystal system: trigonal
ΔE to the lowest computed polymorph: 8.4 kJ/mol of atoms

Cell lengths 4.213, 4.213, 5.493 Å; angles 67.45, 67.45, 60.00 degrees
Element x y z (fractional)
V: 0.703 0.703 0.892
V: 0.297 0.297 0.108
Tc: 0.000 0.000 0.000
Tm: 0.500 0.500 0.500

[2]
Here is crystalline Y2MnNi at its relaxed geometry from Alexandria. Energies are from PBE-GGA.

Properties
V: 79.7 Å³ per cell
Fermi-level density of states: 1.27 states/eV/atom
crystal system: cubic
calculated total energy: -6.7304 eV per atom

Cell lengths 4.830, 4.830, 4.830 Å; angles 60.00, 60.00, 60.00 degrees
Element x y z (fractional)
Mn: 0.500 0.500 0.500
Y: 0.250 0.250 0.250
Y: 0.000 0.000 0.000
Ni: 0.750 0.750 0.750

[3]
Here is crystalline SmGa2CuAu4 at its relaxed geometry from Alexandria. Energies are from PBE-GGA.

Properties
V: 151.5 Å³ per cell
Fermi-level density of states: 0.40 states/eV/atom
crystal system: trigonal
calculated total energy: -3.8886 eV per atom

Cell lengths 4.494, 4.494, 9.041 Å; angles 75.61, 75.61, 60.00 degrees
Element x y z (fractional)
Au: 0.865 0.865 0.405
Au: 0.135 0.135 0.595
Au: 0.397 0.397 0.808
Au: 0.603 0.603 0.192
Sm: 0.000 0.000 0.000
Ga: 0.245 0.245 0.266
Ga: 0.755 0.755 0.734
Cu: 0.500 0.500 0.500